Compound: Na3NiB2O6
Source: Alexandria via LeMat-Bulk
Functional: PBE+U
Structure: relaxed

Unit cell a=5.1813 b=5.1813 c=6.0653 alpha=90.00 beta=90.00 gamma=120.00
Last column: nearest neighbours and their distance in Å.
Space group P-3m1 (No. 164)
Inequivalent atoms, fractional coordinates:
Na: 0.0000 0.0000 0.0000 [1 per cell]  6 O 2.35
Na: 0.3333 0.6667 0.7335 [2 per cell]  6 O 2.59, 1 B 2.73
Ni: 0.0000 0.0000 0.5000 [1 per cell]  6 O 2.09
B: 0.3333 0.6667 0.2831 [2 per cell]  3 O 1.37
O: 0.1801 0.3603 0.2810 [6 per cell]  1 B 1.37

Results
- energy above the most stable polymorph in this dataset (kJ/mol of formula units) = 10
- E_tot (eV/atom) = -5.965
- total magnetization (μB per formula unit) = 3.01
- calculated density (g/cm³) = 2.89

Compound: Na2Ni2B12O21
Source: Alexandria via LeMat-Bulk
Functional: PBE+U
Structure: relaxed

Unit cell a=23.1898 b=4.5744 c=17.2535 alpha=90.00 beta=124.08 gamma=90.00
Last column: nearest neighbours and their distance in Å.
Space group C2/c (No. 15)
Inequivalent atoms, fractional coordinates:
Na: 0.1417 0.0580 0.4910 [8 per cell]  3 O 2.35-2.49
Ni: 0.0461 0.0145 0.1060 [8 per cell]  4 O 2.00-2.06
B: 0.0145 0.4457 0.8272 [8 per cell]  4 O 1.42-1.58
B: 0.0557 0.4792 0.9925 [8 per cell]  3 O 1.35-1.41
B: 0.0875 0.1419 0.7981 [8 per cell]  3 O 1.36-1.39
B: 0.1608 0.4601 0.1550 [8 per cell]  4 O 1.44-1.54
B: 0.1649 0.2446 0.2940 [8 per cell]  3 O 1.38-1.39
B: 0.2461 0.3824 0.8174 [8 per cell]  3 O 1.36-1.41
O: 0.0000 0.3796 0.2500 [4 per cell]  2 B 1.42
O: 0.0269 0.3744 0.4066 [8 per cell]  2 B 1.41-1.48
O: 0.0380 0.2011 0.9957 [8 per cell]  1 B 1.35
O: 0.0479 0.2275 0.7053 [8 per cell]  1 B 1.38
O: 0.0769 0.2563 0.8621 [8 per cell]  2 B 1.36-1.49
O: 0.1049 0.3722 0.5740 [8 per cell]  2 B 1.39-1.48
O: 0.1320 0.2629 0.1982 [8 per cell]  2 B 1.38-1.54
O: 0.1429 0.0542 0.3341 [8 per cell]  2 B 1.38-1.39
O: 0.1942 0.2686 0.1213 [8 per cell]  2 B 1.37-1.49
O: 0.2083 0.3303 0.7236 [8 per cell]  2 B 1.36-1.44
O: 0.2215 0.4197 0.3551 [8 per cell]  2 B 1.39-1.41

Results
- E_tot (eV/atom) = -7.468
- total magnetization (μB per formula unit) = 3.99
- calculated density (g/cm³) = 2.76

Compound: Na3NiBPO7
Source: Alexandria via LeMat-Bulk
Functional: PBE+U
Structure: relaxed

Unit cell a=5.1668 b=6.7607 c=8.8705 alpha=90.00 beta=91.92 gamma=90.00
Last column: nearest neighbours and their distance in Å.
Space group P2_1/m (No. 11)
Inequivalent atoms, fractional coordinates:
Na: 0.2294 0.2500 0.0847 [2 per cell]  4 O 2.36-2.43
Na: 0.2557 0.5079 0.7308 [4 per cell]  6 O 2.34-2.60
Ni: 0.2179 0.7500 0.3418 [2 per cell]  6 O 1.99-2.15
B: 0.2726 0.7500 0.0687 [2 per cell]  3 O 1.34-1.39
P: 0.2792 0.2500 0.4194 [2 per cell]  4 O 1.55-1.57
O: 0.0355 0.7500 0.1375 [2 per cell]  1 B 1.39
O: 0.1304 0.2500 0.5678 [2 per cell]  1 P 1.55
O: 0.2137 0.0666 0.3198 [4 per cell]  1 P 1.55
O: 0.3034 0.7500 0.9188 [2 per cell]  1 B 1.34
O: 0.4229 0.7500 0.5382 [2 per cell]  1 P 1.57
O: 0.4731 0.7500 0.1772 [2 per cell]  1 B 1.39

Results
- E_tot (eV/atom) = -6.047
- total magnetization (μB per formula unit) = 0.97
- calculated density (g/cm³) = 3.02